Record 1
Entry from Alexandria via LeMat-Bulk: a relaxed structure of CrAgTeI2 (PBE-GGA).

Results
Raw total energy in eV per atom: -3.129
Total moment in μB per formula unit: 4.02
DOS at the Fermi energy in states/eV/cell: 4.90

Structure (CIF):
```
data_CrAgTeI2
_space_group_name_H-M_alt 'P 4/m m m'
_space_group_IT_number 123
_space_group_name_Hall '-P 4 2'
_cell_length_a 5.648
_cell_length_b 5.648
_cell_length_c 5.556
_cell_angle_alpha 90.00
_cell_angle_beta 90.00
_cell_angle_gamma 90.00
loop_
_atom_site_label
_atom_site_fract_x
_atom_site_fract_y
_atom_site_fract_z
Cr1 0.000 0.000 0.000
Ag1 0.500 0.500 0.500
Te1 0.500 0.500 0.000
I1 0.000 0.500 0.500
```

=====

Record 2
Entry from Alexandria via LeMat-Bulk: a relaxed structure of CrAg2TeI (PBE-GGA).

Results
Raw total energy in eV per atom: -3.692
Total moment in μB per formula unit: 4.98
DOS at the Fermi energy in states/eV/cell: 0.38

Structure (CIF):
```
data_CrAg2TeI
_space_group_name_H-M_alt 'P 4/m m m'
_space_group_IT_number 123
_space_group_name_Hall '-P 4 2'
_cell_length_a 5.373
_cell_length_b 5.373
_cell_length_c 5.379
_cell_angle_alpha 90.00
_cell_angle_beta 90.00
_cell_angle_gamma 90.00
loop_
_atom_site_label
_atom_site_fract_x
_atom_site_fract_y
_atom_site_fract_z
Cr1 0.000 0.000 0.000
Ag1 0.000 0.500 0.500
Te1 0.000 0.000 0.500
I1 0.500 0.500 0.000
```

=====

Record 3
Entry from Alexandria via LeMat-Bulk: a relaxed structure of CrAgTe2I (PBE-GGA).

Results
Raw total energy in eV per atom: -3.326
Total moment in μB per formula unit: 3.95
DOS at the Fermi energy in states/eV/cell: 6.29

Structure (CIF):
```
data_CrAgTe2I
_space_group_name_H-M_alt 'P 4/m m m'
_space_group_IT_number 123
_space_group_name_Hall '-P 4 2'
_cell_length_a 5.462
_cell_length_b 5.462
_cell_length_c 5.652
_cell_angle_alpha 90.00
_cell_angle_beta 90.00
_cell_angle_gamma 90.00
loop_
_atom_site_label
_atom_site_fract_x
_atom_site_fract_y
_atom_site_fract_z
Cr1 0.000 0.000 0.000
Ag1 0.500 0.500 0.500
Te1 0.000 0.500 0.500
I1 0.500 0.500 0.000
```

=====

Record 4
Entry from Alexandria via LeMat-Bulk: a relaxed structure of CrAgTeI2 (PBE-GGA).

Results
Raw total energy in eV per atom: -3.479
Total moment in μB per formula unit: 2.95
DOS at the Fermi energy in states/eV/cell: 2.87

Structure (CIF):
```
data_CrAgTeI2
_space_group_name_H-M_alt 'P 4/m m m'
_space_group_IT_number 123
_space_group_name_Hall '-P 4 2'
_cell_length_a 5.632
_cell_length_b 5.632
_cell_length_c 5.215
_cell_angle_alpha 90.00
_cell_angle_beta 90.00
_cell_angle_gamma 90.00
loop_
_atom_site_label
_atom_site_fract_x
_atom_site_fract_y
_atom_site_fract_z
Cr1 0.000 0.000 0.000
Ag1 0.500 0.500 0.500
Te1 0.000 0.000 0.500
I1 0.000 0.500 0.000
```

=====

Record 5
Entry from Alexandria via LeMat-Bulk: a relaxed structure of Tl3CrAg3I8 (PBE-GGA).

Results
Raw total energy in eV per atom: -2.875
Total moment in μB per formula unit: 4.00
DOS at the Fermi energy in states/eV/cell: 10.73

Structure (CIF):
```
data_Tl3CrAg3I8
_space_group_name_H-M_alt 'C 1 2/m 1'
_space_group_IT_number 12
_cell_length_a 15.428
_cell_length_b 8.894
_cell_length_c 9.597
_cell_angle_alpha 90.00
_cell_angle_beta 122.37
_cell_angle_gamma 90.00
loop_
_space_group_symop_operation_xyz
'x,y,z'
'-x,-y,-z'
'-x,y,-z'
'x,-y,z'
'x+1/2,y+1/2,z'
'-x+1/2,-y+1/2,-z'
'-x+1/2,y+1/2,-z'
'x+1/2,-y+1/2,z'
loop_
_atom_site_label
_atom_site_fract_x
_atom_site_fract_y
_atom_site_fract_z
Tl1 0.000 0.000 0.000
Tl2 0.250 0.250 0.000
Cr1 0.000 0.000 0.500
Ag1 0.000 0.500 0.500
Ag2 0.250 0.250 0.500
I1 0.013 0.237 0.302
I2 0.224 0.000 0.698
I3 0.235 0.500 0.706
```

=====

Record 6
Entry from Alexandria via LeMat-Bulk: a relaxed structure of Tl2CrAgI6 (PBE-GGA).

Results
Raw total energy in eV per atom: -3.081
Total moment in μB per formula unit: 2.95

Structure (CIF):
```
data_Tl2CrAgI6
_space_group_name_H-M_alt 'R 3'
_space_group_IT_number 146
_space_group_name_Hall 'R 3'
_cell_length_a 8.2348
_cell_length_b 8.2348
_cell_length_c 19.8766
_cell_angle_alpha 90.00
_cell_angle_beta 90.00
_cell_angle_gamma 120.00
loop_
_atom_site_label
_atom_site_fract_x
_atom_site_fract_y
_atom_site_fract_z
Tl1 0.0000 0.0000 0.0000
Tl2 0.0000 0.0000 0.4666
Cr1 0.0000 0.0000 0.7657
Ag1 0.0000 0.0000 0.1678
I1 0.0403 0.6068 0.5200
I2 0.1049 0.3648 0.3555
```